No. 1
Entry from the Alexandria database: crystalline Cs2Be2HgBr6 at its relaxed geometry (PBE).

The structure in POSCAR format:
```
Cs2Be2HgBr6
1.0
-3.5604 -7.2777 -0.9735
3.0335 -6.7703 5.1733
-8.0711 3.3962 4.1891
Cs Be Hg Br
2 2 1 6
Direct
0.8415 0.3169 0.7824 Cs
0.1585 0.6831 0.2176 Cs
0.1310 0.7354 0.7956 Be
0.8690 0.2646 0.2044 Be
0.5000 0.0000 0.5000 Hg
0.3717 0.6971 0.8878 Br
0.0712 0.3023 0.1116 Br
0.0833 0.8297 0.6192 Br
0.9288 0.6977 0.8884 Br
0.9167 0.1703 0.3808 Br
0.6283 0.3029 0.1122 Br
```

Calculated values
Its theoretical density is 2654 kg/m³. As for the formation energy from raw total energies: -1.1835 eV per atom.


No. 2
Entry from the Alexandria database: crystalline Cs2BeHgBr at its relaxed geometry (PBE).

The structure in POSCAR format:
```
Cs2BeHgBr
1.0
7.1605 0.0000 0.0000
0.0000 6.2949 0.0000
0.0000 0.0000 7.1605
Cs Be Hg Br
2 1 1 1
Direct
0.0000 0.0000 0.5000 Cs
0.5000 0.0000 0.0000 Cs
0.5000 0.5000 0.5000 Be
0.0000 0.0000 0.0000 Hg
0.0000 0.5000 0.0000 Br
```

Calculated values
Its theoretical density is 2857 kg/m³. As for the formation energy from raw total energies: 0.1947 eV per atom.


No. 3
Entry from the Alexandria database: crystalline CsHoBe2Br8 at its relaxed geometry (PBE).

The structure in POSCAR format:
```
CsHoBe2Br8
1.0
-3.1324 -3.5113 -4.7078
-5.4787 -3.4605 1.5209
-8.8256 6.0883 -3.3742
Cs Ho Be Br
1 1 2 8
Direct
0.5000 0.5000 0.5000 Cs
0.0000 0.0000 0.0000 Ho
0.2571 0.2571 0.2287 Be
0.7429 0.7429 0.7713 Be
0.1903 0.1903 0.4291 Br
0.5984 0.2790 0.1573 Br
0.8097 0.8097 0.5709 Br
0.9653 0.5984 0.1573 Br
0.0347 0.4016 0.8427 Br
0.2790 0.9653 0.1573 Br
0.7210 0.0347 0.8427 Br
0.4016 0.7210 0.8427 Br
```

Calculated values
Its theoretical density is 3913 kg/m³. As for the formation energy from raw total energies: -1.4105 eV per atom.


No. 4
Entry from the Alexandria database: crystalline CsBe2InBr6 at its relaxed geometry (PBE).

The structure in POSCAR format:
```
CsBe2InBr6
1.0
9.3202 -0.3159 -0.1901
-1.4546 9.2114 -0.1901
-2.4827 -2.8077 9.6715
Cs Be In Br
2 4 2 12
Direct
0.1553 0.8447 0.2500 Cs
0.8447 0.1553 0.7500 Cs
0.3627 0.1432 0.7037 Be
0.8568 0.6373 0.7963 Be
0.6373 0.8568 0.2963 Be
0.1432 0.3627 0.2037 Be
0.5758 0.4242 0.2500 In
0.4242 0.5758 0.7500 In
0.9262 0.3944 0.1395 Br
0.6056 0.0738 0.3605 Br
0.0738 0.6056 0.8605 Br
0.3944 0.9262 0.6395 Br
0.2069 0.1829 0.0870 Br
0.8171 0.7931 0.4130 Br
0.7931 0.8171 0.9130 Br
0.1829 0.2069 0.5870 Br
0.3106 0.5233 0.3816 Br
0.4767 0.6894 0.1184 Br
0.6894 0.4767 0.6184 Br
0.5233 0.3106 0.8816 Br
```

Calculated values
Its theoretical density is 3034 kg/m³. As for the formation energy from raw total energies: -1.0918 eV per atom.


No. 5
Entry from the Alexandria database: crystalline CsKBe2Br6 at its relaxed geometry (PBE).

The structure in POSCAR format:
```
CsKBe2Br6
1.0
-8.0519 -2.4152 4.0955
2.9637 -8.6648 -1.8913
5.8294 3.0491 7.5431
Cs K Be Br
2 2 4 12
Direct
0.1499 0.8501 0.2500 Cs
0.8501 0.1499 0.7500 Cs
0.5885 0.4115 0.2500 K
0.4115 0.5885 0.7500 K
0.3620 0.1362 0.7062 Be
0.8638 0.6380 0.7938 Be
0.6380 0.8638 0.2938 Be
0.1362 0.3620 0.2062 Be
0.9179 0.3993 0.1437 Br
0.6007 0.0821 0.3563 Br
0.0821 0.6007 0.8563 Br
0.3993 0.9179 0.6437 Br
0.2013 0.1787 0.0864 Br
0.8213 0.7987 0.4136 Br
0.7987 0.8213 0.9136 Br
0.1787 0.2013 0.5864 Br
0.2977 0.5213 0.3797 Br
0.4787 0.7023 0.1203 Br
0.7023 0.4787 0.6203 Br
0.5213 0.2977 0.8797 Br
```

Calculated values
Its theoretical density is 2764 kg/m³. As for the formation energy from raw total energies: -1.3213 eV per atom.


No. 6
Entry from the Alexandria database: crystalline Cs2KBeBr6 at its relaxed geometry (PBE).

The structure in POSCAR format:
```
Cs2KBeBr6
1.0
7.9867 0.0000 0.0000
0.0000 7.9867 0.0000
3.9934 3.9934 5.6564
Cs Be K Br
2 1 1 6
Direct
0.7500 0.2500 0.5000 Cs
0.2500 0.7500 0.5000 Cs
0.5000 0.5000 0.0000 Be
0.0000 0.0000 0.0000 K
0.2823 0.2823 0.4355 Br
0.7177 0.7177 0.5645 Br
0.2828 0.2828 0.0000 Br
0.7172 0.7172 0.0000 Br
0.7172 0.2828 0.0000 Br
0.2828 0.7172 0.0000 Br
```

Calculated values
Its theoretical density is 3651 kg/m³. As for the formation energy from raw total energies: -1.2094 eV per atom.